(1)
ZnNiPbF6, relaxed, DFT PBE+U; electronic total energy = -39.55 eV per formula unit; spin magnetization = 0.22 μB/atom
1.0
-2.121 -4.331 2.433
-0.949 -4.502 -2.837
4.852 -1.733 1.139
Pb Ni F Zn
1 1 6 1
Direct
0.000 0.000 0.000
0.667 0.667 0.500
0.369 0.996 0.712
0.636 0.995 0.288
0.995 0.368 0.288
0.369 0.635 0.288
0.636 0.369 0.712
0.995 0.636 0.712
0.334 0.333 0.500

(2)
NiPdF2, relaxed, DFT PBE+U; electronic total energy = -13.61 eV per formula unit; spin magnetization = 0.07 μB/atom
1.0
1.628 0.000 7.435
-0.814 1.410 7.435
-0.814 -1.410 7.435
Pd Ni F
1 1 2
Direct
0.500 0.500 0.500
0.000 0.000 0.000
0.083 0.083 0.083
0.917 0.917 0.917

(3)
NiPdF4, relaxed, DFT PBE+U; electronic total energy = -24.54 eV per formula unit; spin magnetization = 0.67 μB/atom
1.0
3.178 0.000 0.591
1.391 6.327 1.359
0.124 0.616 8.169
Ni F Pd
2 8 2
Direct
0.250 0.250 0.750
0.750 0.750 0.250
0.805 0.305 0.585
0.925 0.458 0.192
0.425 0.958 0.692
0.575 0.042 0.308
0.195 0.695 0.415
0.305 0.805 0.085
0.075 0.542 0.808
0.695 0.195 0.915
0.500 0.500 0.000
0.000 0.000 0.500

(4)
NiPdF2, relaxed, DFT PBE+U; electronic total energy = -12.15 eV per formula unit; spin magnetization = 0.54 μB/atom
1.0
-3.888 -1.013 0.737
-1.322 -0.362 3.848
-2.575 2.770 1.544
Pd F Ni
1 2 1
Direct
0.500 0.500 0.500
0.750 0.750 0.750
0.250 0.250 0.250
0.000 0.000 0.000

(5)
NiPdF6, relaxed, DFT PBE+U; electronic total energy = -31.70 eV per formula unit; spin magnetization = 0.25 μB/atom
1.0
-3.898 1.784 2.740
-0.670 -4.865 2.213
4.726 1.835 5.466
Pd F Ni
2 12 2
Direct
0.500 0.000 0.000
0.000 0.500 0.500
0.328 0.312 0.064
0.817 0.183 0.934
0.172 0.812 0.436
0.672 0.688 0.936
0.367 0.034 0.754
0.183 0.817 0.066
0.828 0.188 0.564
0.683 0.683 0.566
0.133 0.534 0.746
0.633 0.966 0.246
0.867 0.466 0.254
0.317 0.317 0.434
0.000 0.500 0.000
0.500 0.000 0.500

(6)
Ni2Pd2F, relaxed, DFT PBE+U; electronic total energy = -17.63 eV per formula unit; spin magnetization = 0.61 μB/atom
1.0
5.593 0.000 0.000
0.000 5.593 0.000
0.000 0.000 4.390
Pd F Ni
4 2 4
Direct
0.832 0.332 0.500
0.668 0.832 0.500
0.332 0.168 0.500
0.168 0.668 0.500
0.500 0.500 0.000
0.000 0.000 0.000
0.342 0.842 0.000
0.158 0.342 0.000
0.658 0.158 0.000
0.842 0.658 0.000

(7)
NiPd2F8, relaxed, DFT PBE+U; electronic total energy = -43.61 eV per formula unit; spin magnetization = 0.14 μB/atom
1.0
-0.526 1.459 4.289
-6.590 -1.090 -0.438
3.896 -3.739 1.859
F Ni Pd
8 1 2
Direct
0.763 0.911 0.233
0.237 0.089 0.767
0.763 0.322 0.233
0.746 0.403 0.805
0.254 0.597 0.195
0.237 0.678 0.767
0.734 0.833 0.666
0.266 0.167 0.334
0.000 0.000 0.000
0.757 0.622 0.243
0.243 0.378 0.757

(8)
NiPdF2, relaxed, DFT PBE+U; electronic total energy = -16.23 eV per formula unit; spin magnetization = 0.42 μB/atom
1.0
-1.701 1.550 8.415
0.928 2.775 8.218
-1.439 4.284 7.462
Ni Pd F
1 1 2
Direct
0.500 0.500 0.500
0.000 0.000 0.000
0.125 0.125 0.125
0.875 0.875 0.875

Which formula does entry 5 have? NiPdF6

What is the spin magnetization in the fourth record? 0.54 μB/atom